No. 1
# SmYAsO, relaxed, DFT GGA-PBE
# - crystal system = orthorhombic
# - volume (Å³/atom) = 23.886
# - energy above the lowest structure with this stoichiometry (meV/atom) = 34
# - total energy (eV/atom) = -7.1279
data_SmYAsO
_cell_length_a 4.1800
_cell_length_b 7.8958
_cell_length_c 5.7898
_cell_angle_alpha 90.00
_cell_angle_beta 90.00
_cell_angle_gamma 90.00
_symmetry_space_group_name_H-M 'P m c 21'
_symmetry_Int_Tables_number 26
loop_
_symmetry_equiv_pos_as_xyz
'x,y,z'
'-x,-y,z+1/2'
'-x,y,z'
'x,-y,z+1/2'
loop_
_atom_site_label
_atom_site_type_symbol
_atom_site_fract_x
_atom_site_fract_y
_atom_site_fract_z
Sm1 Sm 0.0000 0.1183 0.0000
Y1 Y 0.5000 0.2908 0.4453
As1 As 0.5000 0.3506 0.9402
O1 O 0.0000 0.1750 0.3950

=====

No. 2
# KPrDy, relaxed, DFT GGA-PBE
# - crystal system = cubic
# - volume (Å³/atom) = 49.235
# - energy above the lowest structure with this stoichiometry (meV/atom) = 0
# - total energy (eV/atom) = -2.3404
data_KPrDy
_cell_length_a 8.3911
_cell_length_b 8.3911
_cell_length_c 8.3911
_cell_angle_alpha 90.00
_cell_angle_beta 90.00
_cell_angle_gamma 90.00
_symmetry_space_group_name_H-M 'F -4 3 m'
_symmetry_Int_Tables_number 216
_symmetry_space_group_name_Hall 'F -4 2 3'
loop_
_atom_site_label
_atom_site_type_symbol
_atom_site_fract_x
_atom_site_fract_y
_atom_site_fract_z
K1 K 0.0000 0.0000 0.0000
Pr1 Pr 0.2500 0.2500 0.7500
Dy1 Dy 0.0000 0.0000 0.5000

=====

No. 3
# ErTaPb, relaxed, DFT GGA-PBE
# - crystal system = cubic
# - volume (Å³/atom) = 26.845
# - energy above the lowest structure with this stoichiometry (meV/atom) = 0
# - total energy (eV/atom) = -6.0500
data_ErTaPb
_cell_length_a 6.8551
_cell_length_b 6.8551
_cell_length_c 6.8551
_cell_angle_alpha 90.00
_cell_angle_beta 90.00
_cell_angle_gamma 90.00
_symmetry_space_group_name_H-M 'F -4 3 m'
_symmetry_Int_Tables_number 216
_symmetry_space_group_name_Hall 'F -4 2 3'
loop_
_atom_site_label
_atom_site_type_symbol
_atom_site_fract_x
_atom_site_fract_y
_atom_site_fract_z
Er1 Er 0.0000 0.0000 0.0000
Ta1 Ta 0.0000 0.0000 0.5000
Pb1 Pb 0.2500 0.2500 0.2500